Record 1
Entry from Alexandria via LeMat-Bulk: an optimized crystal structure of SrPrTlBi (PBE).

SG	F-43m, No. 216
energy of formation from the pure elements	-0.49	eV per atom
volume	33.13	Å³/atom
density of states at the Fermi level	4.27	states/eV per cell

Unit cell a=5.723 b=5.723 c=5.723 alpha=60.00 beta=60.00 gamma=60.00
Atoms (fractional coordinates):
Bi  0.250  0.250  0.250
Tl  0.750  0.750  0.750
Sr  0.000  0.000  0.000
Pr  0.500  0.500  0.500


Record 2
Entry from Alexandria via LeMat-Bulk: an optimized crystal structure of TbPrBi (PBE).

SG	Immm, No. 71
energy of formation from the pure elements	-0.32	eV per atom
volume	32.95	Å³/atom
density of states at the Fermi level	6.25	states/eV per cell

Unit cell a=6.055 b=3.502 c=9.956 alpha=100.13 beta=107.70 gamma=90.00
Atoms (fractional coordinates):
Pr  0.669  0.169  0.338
Bi  0.155  0.655  0.309
Tb  0.744  0.500  0.000
Bi  0.845  0.345  0.691
Tb  0.256  0.500  0.000
Pr  0.331  0.831  0.662


Record 3
Entry from Alexandria via LeMat-Bulk: an optimized crystal structure of Tb3PrBi2 (PBE).

SG	C2/m, No. 12
energy relative to the lowest polymorph listed for this composition	75	meV/atom
energy of formation from the pure elements	-0.52	eV per atom
volume	31.88	Å³/atom
density of states at the Fermi level	13.47	states/eV per cell

Unit cell a=4.432 b=10.838 c=9.975 alpha=124.49 beta=90.00 gamma=101.80
Site moments in Bohr magnetons follow the coordinates.
Atoms (fractional coordinates):
Bi  0.489  0.978  0.820  0.00
Tb  0.641  0.281  0.804  0.01
Bi  0.247  0.494  0.782  0.00
Pr  0.112  0.223  0.104  0.01
Tb  0.312  0.623  0.514  0.16
Tb  0.058  0.116  0.444  0.06
Tb  0.688  0.377  0.486  0.16
Bi  0.511  0.022  0.180  0.00
Tb  0.359  0.719  0.196  0.01
Pr  0.888  0.777  0.896  0.01
Tb  0.942  0.884  0.556  0.06
Bi  0.753  0.506  0.218  0.00


Record 4
Entry from Alexandria via LeMat-Bulk: an optimized crystal structure of Tb3PrBi2 (PBE).

SG	P-4m2, No. 115
energy relative to the lowest polymorph listed for this composition	0	meV/atom
energy of formation from the pure elements	-0.60	eV per atom
volume	31.00	Å³/atom
density of states at the Fermi level	5.23	states/eV per cell

Unit cell a=4.600 b=4.600 c=8.791 alpha=90.00 beta=90.00 gamma=90.00
Atoms (fractional coordinates):
Pr  0.500  0.500  0.000
Tb  0.000  0.500  0.651
Tb  0.000  0.000  0.000
Bi  0.000  0.500  0.288
Bi  0.500  0.000  0.712
Tb  0.500  0.000  0.349


Record 5
Entry from Alexandria via LeMat-Bulk: an optimized crystal structure of Tb2Pr5Bi5 (PBE).

SG	C2/m, No. 12
energy of formation from the pure elements	-0.69	eV per atom
volume	35.20	Å³/atom
density of states at the Fermi level	9.41	states/eV per cell

Unit cell a=4.567 b=7.884 c=13.176 alpha=110.56 beta=90.00 gamma=106.84
Atoms (fractional coordinates):
Pr  0.723  0.445  0.342
Pr  0.500  0.000  0.500
Bi  0.000  0.000  0.000
Pr  0.662  0.325  0.036
Pr  0.338  0.675  0.964
Bi  0.688  0.376  0.784
Tb  0.048  0.096  0.791
Bi  0.312  0.624  0.216
Tb  0.952  0.904  0.209
Bi  0.883  0.767  0.574
Bi  0.117  0.233  0.426
Pr  0.277  0.555  0.658


Record 6
Entry from Alexandria via LeMat-Bulk: an optimized crystal structure of TbPr3Bi2 (PBE).

SG	P-4m2, No. 115
energy of formation from the pure elements	-0.66	eV per atom
volume	32.89	Å³/atom
density of states at the Fermi level	5.51	states/eV per cell

Unit cell a=4.675 b=4.675 c=9.032 alpha=90.00 beta=90.00 gamma=90.00
Atoms (fractional coordinates):
Tb  0.500  0.500  0.000
Pr  0.000  0.500  0.647
Bi  0.500  0.000  0.722
Bi  0.000  0.500  0.278
Pr  0.500  0.000  0.353
Pr  0.000  0.000  0.000


Record 7
Entry from Alexandria via LeMat-Bulk: an optimized crystal structure of TbPrBi (PBE).

SG	P3m1, No. 156
energy of formation from the pure elements	-0.31	eV per atom
volume	33.24	Å³/atom
density of states at the Fermi level	3.41	states/eV per cell

Unit cell a=4.138 b=5.275 c=5.275 alpha=120.00 beta=90.00 gamma=90.00
Atoms (fractional coordinates):
Pr  0.701  0.333  0.667
Bi  0.074  0.000  0.000
Tb  0.225  0.667  0.333


Record 8
Entry from Alexandria via LeMat-Bulk: an optimized crystal structure of TbPrBi (PBE).

SG	I4_1md, No. 109
energy of formation from the pure elements	-0.26	eV per atom
volume	35.94	Å³/atom
density of states at the Fermi level	8.61	states/eV per cell

Unit cell a=6.326 b=6.326 c=7.004 alpha=116.85 beta=116.85 gamma=90.00
Atoms (fractional coordinates):
Tb  0.039  0.039  0.078
Bi  0.755  0.755  0.510
Pr  0.456  0.456  0.912
Pr  0.706  0.206  0.412
Bi  0.005  0.505  0.010
Tb  0.289  0.789  0.578


Record 9
Entry from Alexandria via LeMat-Bulk: an optimized crystal structure of TbPr4Bi2 (PBE).

SG	I4/mmm, No. 139
energy of formation from the pure elements	0.14	eV per atom
volume	37.99	Å³/atom
density of states at the Fermi level	8.52	states/eV per cell

Unit cell a=5.528 b=5.528 c=9.540 alpha=106.84 beta=106.84 gamma=90.00
Atoms (fractional coordinates):
Pr  0.182  0.182  0.364
Pr  0.818  0.818  0.636
Pr  0.500  0.000  0.000
Bi  0.634  0.634  0.269
Pr  0.000  0.500  0.000
Bi  0.366  0.366  0.731
Tb  0.000  0.000  0.000


Record 10
Entry from Alexandria via LeMat-Bulk: an optimized crystal structure of TbPr2Bi2 (PBE).

SG	Ibam, No. 72
energy of formation from the pure elements	-0.64	eV per atom
volume	35.36	Å³/atom
density of states at the Fermi level	8.80	states/eV per cell

Unit cell a=6.520 b=8.815 c=8.240 alpha=122.33 beta=113.30 gamma=90.00
Atoms (fractional coordinates):
Tb  0.250  0.500  0.000
Bi  0.392  0.670  0.784
Pr  0.849  0.705  0.698
Tb  0.750  0.500  0.000
Bi  0.608  0.330  0.216
Bi  0.892  0.113  0.784
Pr  0.349  0.993  0.698
Bi  0.108  0.887  0.216
Pr  0.151  0.295  0.302
Pr  0.651  0.007  0.302


Record 11
Entry from Alexandria via LeMat-Bulk: an optimized crystal structure of Tb8PrBi6 (PBE).

SG	R-3, No. 148
energy of formation from the pure elements	-0.54	eV per atom
volume	34.00	Å³/atom
density of states at the Fermi level	9.07	states/eV per cell

Unit cell a=7.767 b=7.767 c=10.743 alpha=68.81 beta=68.81 gamma=60.00
Atoms (fractional coordinates):
Bi  0.937  0.276  0.192
Bi  0.405  0.063  0.808
Pr  0.000  0.000  0.000
Bi  0.724  0.405  0.808
Tb  0.334  0.334  0.999
Bi  0.063  0.724  0.808
Tb  0.207  0.876  0.365
Tb  0.124  0.447  0.635
Tb  0.666  0.666  0.001
Tb  0.447  0.793  0.635
Bi  0.276  0.595  0.192
Tb  0.876  0.553  0.365
Bi  0.595  0.937  0.192
Tb  0.793  0.124  0.635
Tb  0.553  0.207  0.365


Record 12
Entry from Alexandria via LeMat-Bulk: an optimized crystal structure of TbPr8Bi6 (PBE).

SG	R-3, No. 148
energy of formation from the pure elements	-0.60	eV per atom
volume	36.03	Å³/atom
density of states at the Fermi level	17.52	states/eV per cell

Unit cell a=8.406 b=8.406 c=10.078 alpha=65.35 beta=65.35 gamma=60.00
Atoms (fractional coordinates):
Bi  0.391  0.067  0.803
Bi  0.067  0.739  0.803
Pr  0.216  0.880  0.366
Pr  0.333  0.333  0.000
Bi  0.609  0.933  0.197
Bi  0.933  0.261  0.197
Tb  0.000  0.000  0.000
Bi  0.739  0.391  0.803
Pr  0.462  0.784  0.634
Pr  0.120  0.462  0.634
Bi  0.261  0.609  0.197
Pr  0.538  0.216  0.366
Pr  0.784  0.120  0.634
Pr  0.667  0.667  0.000
Pr  0.880  0.538  0.366


Record 13
Entry from Alexandria via LeMat-Bulk: an optimized crystal structure of Tb4Pr3Bi8 (PBE).

SG	C2/m, No. 12
energy of formation from the pure elements	-0.70	eV per atom
volume	35.43	Å³/atom
density of states at the Fermi level	8.46	states/eV per cell

Unit cell a=9.037 b=9.090 c=9.090 alpha=90.05 beta=119.77 gamma=119.77
Atoms (fractional coordinates):
Bi  0.008  0.752  0.752
Tb  0.000  0.500  0.000
Tb  0.000  0.000  0.000
Bi  0.992  0.248  0.248
Pr  0.500  0.500  0.500
Bi  0.000  0.251  0.749
Pr  0.500  0.000  0.500
Bi  0.500  0.247  0.753
Bi  0.502  0.247  0.247
Tb  0.500  0.000  0.000
Bi  0.498  0.753  0.753
Bi  0.000  0.749  0.251
Pr  0.500  0.500  0.000
Bi  0.500  0.753  0.247
Tb  0.000  0.000  0.500


Record 14
Entry from Alexandria via LeMat-Bulk: an optimized crystal structure of Tb2Pr2Bi5 (PBE).

SG	Cmce, No. 64
energy of formation from the pure elements	-0.70	eV per atom
volume	32.53	Å³/atom
density of states at the Fermi level	13.19	states/eV per cell

Unit cell a=8.538 b=9.201 c=9.201 alpha=125.89 beta=90.00 gamma=90.00
Atoms (fractional coordinates):
Pr  0.500  0.693  0.307
Bi  0.649  0.285  0.012
Pr  0.000  0.193  0.807
Pr  0.500  0.307  0.693
Bi  0.000  0.000  0.000
Bi  0.351  0.715  0.988
Bi  0.351  0.988  0.715
Bi  0.649  0.012  0.285
Tb  0.659  0.845  0.845
Tb  0.841  0.345  0.345
Bi  0.149  0.215  0.488
Bi  0.851  0.785  0.512
Tb  0.341  0.155  0.155
Tb  0.159  0.655  0.655
Pr  0.000  0.807  0.193
Bi  0.149  0.488  0.215
Bi  0.851  0.512  0.785
Bi  0.500  0.500  0.500


Record 15
Entry from Alexandria via LeMat-Bulk: an optimized crystal structure of TbPrBi (PBE).

SG	I4mm, No. 107
energy of formation from the pure elements	-0.49	eV per atom
volume	30.88	Å³/atom
density of states at the Fermi level	3.90	states/eV per cell

Unit cell a=4.173 b=4.173 c=6.083 alpha=110.06 beta=110.06 gamma=90.00
Atoms (fractional coordinates):
Pr  0.958  0.958  0.916
Tb  0.270  0.270  0.540
Bi  0.622  0.622  0.244


Record 16
Entry from Alexandria via LeMat-Bulk: an optimized crystal structure of Tb2Pr5Bi4 (PBE).

SG	C2/m, No. 12
energy of formation from the pure elements	-0.49	eV per atom
volume	36.23	Å³/atom
density of states at the Fermi level	8.91	states/eV per cell

Unit cell a=4.829 b=9.497 c=9.214 alpha=101.82 beta=105.19 gamma=90.00
Atoms (fractional coordinates):
Tb  0.715  0.161  0.430
Pr  0.810  0.561  0.619
Pr  0.614  0.692  0.229
Pr  0.500  0.000  0.000
Bi  0.427  0.661  0.853
Bi  0.128  0.955  0.256
Bi  0.573  0.339  0.147
Pr  0.386  0.308  0.771
Pr  0.190  0.439  0.381
Bi  0.872  0.045  0.744
Tb  0.285  0.839  0.570


Record 17
Entry from Alexandria via LeMat-Bulk: an optimized crystal structure of Tb5Pr3Bi8 (PBE).

SG	R-3m, No. 166
energy of formation from the pure elements	-0.90	eV per atom
volume	33.31	Å³/atom
density of states at the Fermi level	2.73	states/eV per cell

Unit cell a=9.102 b=9.102 c=9.098 alpha=59.98 beta=59.98 gamma=60.00
Atoms (fractional coordinates):
Tb  0.500  0.000  0.000
Pr  0.000  0.500  0.500
Bi  0.256  0.750  0.244
Pr  0.000  0.000  0.500
Tb  0.000  0.000  0.000
Bi  0.250  0.250  0.756
Tb  0.500  0.500  0.000
Pr  0.500  0.000  0.500
Bi  0.250  0.744  0.756
Bi  0.750  0.750  0.244
Bi  0.747  0.747  0.760
Bi  0.253  0.253  0.240
Bi  0.750  0.256  0.244
Tb  0.500  0.500  0.500
Tb  0.000  0.500  0.000
Bi  0.744  0.250  0.756


Record 18
Entry from Alexandria via LeMat-Bulk: an optimized crystal structure of Tb2PrThBi5 (PBE).

SG	P4/mmm, No. 123
energy of formation from the pure elements	0.16	eV per atom
volume	44.01	Å³/atom
density of states at the Fermi level	6.04	states/eV per cell

Unit cell a=5.712 b=5.712 c=12.138 alpha=90.00 beta=90.00 gamma=90.00
Atoms (fractional coordinates):
Tb  0.500  0.500  0.265
Bi  0.000  0.000  0.754
Tb  0.500  0.500  0.735
Bi  0.500  0.500  0.000
Pr  0.000  0.000  0.000
Th  0.000  0.000  0.500
Bi  0.500  0.000  0.500
Bi  0.000  0.500  0.500
Bi  0.000  0.000  0.246


Record 19
Entry from Alexandria via LeMat-Bulk: an optimized crystal structure of TbPr2ThBi4 (PBE).

SG	P2/m, No. 10
energy of formation from the pure elements	-0.86	eV per atom
volume	34.31	Å³/atom
density of states at the Fermi level	1.84	states/eV per cell

Unit cell a=4.602 b=7.941 c=7.967 alpha=109.47 beta=90.00 gamma=90.00
Atoms (fractional coordinates):
Tb  0.000  0.000  0.000
Bi  0.000  0.751  0.245
Th  0.500  0.500  0.000
Bi  0.500  0.755  0.758
Pr  0.500  0.000  0.500
Pr  0.000  0.500  0.500
Bi  0.500  0.245  0.242
Bi  0.000  0.249  0.755


Record 20
Entry from Alexandria via LeMat-Bulk: an optimized crystal structure of Tb2PrThBi4 (PBE).

SG	P2/m, No. 10
energy of formation from the pure elements	-0.83	eV per atom
volume	33.42	Å³/atom
density of states at the Fermi level	1.87	states/eV per cell

Unit cell a=4.565 b=7.869 c=7.897 alpha=70.49 beta=90.00 gamma=90.00
Atoms (fractional coordinates):
Th  0.000  0.500  0.500
Pr  0.500  0.500  0.000
Bi  0.000  0.759  0.745
Bi  0.500  0.758  0.248
Bi  0.500  0.242  0.751
Tb  0.500  0.000  0.500
Tb  0.000  0.000  0.000
Bi  0.000  0.241  0.255


Record 21
Entry from Alexandria via LeMat-Bulk: an optimized crystal structure of TbPr3Th2Bi6 (PBE).

SG	C2/m, No. 12
energy of formation from the pure elements	-0.83	eV per atom
volume	34.51	Å³/atom
density of states at the Fermi level	5.14	states/eV per cell

Unit cell a=4.607 b=9.204 c=10.301 alpha=103.10 beta=102.92 gamma=90.00
Atoms (fractional coordinates):
Pr  0.833  0.166  0.666
Bi  0.668  0.582  0.336
Th  0.835  0.669  0.670
Bi  0.664  0.084  0.328
Bi  0.336  0.916  0.672
Bi  0.000  0.756  0.000
Tb  0.500  0.000  0.000
Pr  0.500  0.500  0.000
Th  0.165  0.331  0.330
Bi  0.000  0.244  0.000
Bi  0.332  0.418  0.664
Pr  0.167  0.834  0.334


Record 22
Entry from Alexandria via LeMat-Bulk: an optimized crystal structure of Tb3PrTh2Bi6 (PBE).

SG	C2/m, No. 12
energy of formation from the pure elements	-0.79	eV per atom
volume	33.36	Å³/atom
density of states at the Fermi level	4.98	states/eV per cell

Unit cell a=4.561 b=9.089 c=10.170 alpha=102.69 beta=102.96 gamma=90.00
Atoms (fractional coordinates):
Tb  0.500  0.500  0.000
Bi  0.999  0.256  0.997
Bi  0.669  0.080  0.339
Tb  0.165  0.834  0.330
Bi  0.001  0.744  0.003
Tb  0.835  0.166  0.670
Bi  0.331  0.920  0.661
Th  0.166  0.331  0.331
Th  0.834  0.669  0.669
Pr  0.500  0.000  0.000
Bi  0.665  0.587  0.331
Bi  0.335  0.413  0.669


Record 23
Entry from Alexandria via LeMat-Bulk: an optimized crystal structure of TbPrTh2Bi4 (PBE).

SG	P2/m, No. 10
energy of formation from the pure elements	-0.74	eV per atom
volume	34.03	Å³/atom
density of states at the Fermi level	4.72	states/eV per cell

Unit cell a=4.592 b=7.950 c=7.918 alpha=109.63 beta=90.00 gamma=90.00
Atoms (fractional coordinates):
Bi  0.500  0.746  0.751
Tb  0.500  0.500  0.000
Bi  0.000  0.256  0.754
Th  0.500  0.000  0.500
Bi  0.000  0.744  0.246
Th  0.000  0.500  0.500
Pr  0.000  0.000  0.000
Bi  0.500  0.254  0.249